Density functional theory data (PBE) for a geometry-optimized Ta2BiTe2 structure.

Unit cell a=6.714 b=6.714 c=6.714 alpha=138.78 beta=138.78 gamma=59.70
Sites, in units of the cell vectors:
Ta 0.116 0.116 0.000
Ta 0.884 0.884 0.000
Bi 0.500 0.500 0.000
Te 0.250 0.750 0.500
Te 0.750 0.250 0.500

Calculated values
E   -6.334 eV/atom


Density functional theory data (PBE) for a geometry-optimized ScTaCuIr structure.

Unit cell a=4.520 b=4.520 c=4.520 alpha=60.00 beta=60.00 gamma=60.00
Sites, in units of the cell vectors:
Sc 0.000 0.000 0.000
Ta 0.500 0.500 0.500
Cu 0.250 0.250 0.250
Ir 0.750 0.750 0.750

Calculated values
E   -8.080 eV/atom
Energy relative to the lowest polymorph listed for this composition   0 meV per atom